1.
VASP calculation (GGA-PBE) on an optimized crystal structure of SmScCdPd.

Values from the calculation:
For the volume, the calculation gives 22.8 A^3/atom. The calculation puts the density of states at the Fermi level at 3.5 states/eV/cell. As for the total energy: -4.770 eV/atom. The calculated formation energy is -481 meV/atom.

Structure (POSCAR):
```
SmScCdPd
1.0
0.000 3.570 3.570
3.570 0.000 3.570
3.570 3.570 0.000
Sm Sc Cd Pd
1 1 1 1
Cartesian
0.000 0.000 0.000
3.570 3.570 3.570
1.785 1.785 1.785
5.356 5.356 5.356
```

=====

2.
VASP calculation (GGA-PBE) on an optimized crystal structure of Cs2Pd3.

Values from the calculation:
For the volume, the calculation gives 40.3 A^3/atom. The calculation puts the density of states at the Fermi level at 3.6 states/eV/cell. As for the total energy: -3.500 eV/atom. The calculated formation energy is -43 meV/atom.

Structure (POSCAR):
```
Cs2Pd3
1.0
4.013 -2.317 0.000
4.013 2.317 0.000
-2.539 0.000 10.828
Cs Pd
2 3
Cartesian
1.403 0.000 2.591
4.085 0.000 8.237
-1.269 0.000 5.414
1.406 0.000 5.729
4.081 0.000 5.100
```

=====

3.
VASP calculation (GGA-PBE) on an optimized crystal structure of PaTcAg2O8.

Values from the calculation:
For the volume, the calculation gives 16.0 A^3/atom. The calculation puts the density of states at the Fermi level at 8.4 states/eV/cell. As for the total energy: -6.404 eV/atom. The uncorrected formation energy comes out at -0.968 eV per atom.

Structure (POSCAR):
```
PaTcAg2O8
1.0
6.193 0.000 0.000
-3.096 5.363 0.000
0.000 0.000 5.794
Pa Tc Ag O
1 1 2 8
Cartesian
0.000 0.000 0.000
0.000 0.000 2.897
0.000 3.575 3.242
3.096 1.788 2.552
0.000 1.491 4.157
-1.805 4.618 4.157
1.291 0.745 1.637
0.000 3.575 1.195
3.096 1.788 4.599
1.805 4.618 4.157
4.902 0.745 1.637
3.096 3.872 1.637
```